# TcMo2W (PBEsol, relaxed)
data_TcMo2W
_chemical_formula_sum 'Tc2 Mo4 W2'
_cell_length_a 3.118
_cell_length_b 4.415
_cell_length_c 8.772
_cell_angle_alpha 90.00
_cell_angle_beta 90.00
_cell_angle_gamma 90.00
_space_group_name_H-M_alt 'P 1'
_space_group_IT_number 1
loop_
_space_group_symop_operation_xyz
'x,y,z'
loop_
_atom_site_label
_atom_site_type_symbol
_atom_site_fract_x
_atom_site_fract_y
_atom_site_fract_z
Tc1 Tc 0.000 0.000 0.000
Tc2 Tc 0.500 0.500 0.000
Mo1 Mo 0.000 0.500 0.247
Mo2 Mo 0.000 0.500 0.753
Mo3 Mo 0.500 0.000 0.247
Mo4 Mo 0.500 0.000 0.753
W1 W 0.000 0.000 0.500
W2 W 0.500 0.500 0.500
# - space group = Cmmm
# - DFT formation energy (eV per atom) = 0.07

# TlTeIr2 (PBEsol, relaxed)
data_TlTeIr2
_chemical_formula_sum 'Tl1 Te1 Ir2'
_cell_length_a 3.137
_cell_length_b 3.647
_cell_length_c 6.275
_cell_angle_alpha 90.00
_cell_angle_beta 90.00
_cell_angle_gamma 90.00
_space_group_name_H-M_alt 'P 1'
_space_group_IT_number 1
loop_
_space_group_symop_operation_xyz
'x,y,z'
loop_
_atom_site_label
_atom_site_type_symbol
_atom_site_fract_x
_atom_site_fract_y
_atom_site_fract_z
Tl1 Tl 0.000 0.000 0.000
Te1 Te 0.000 0.000 0.500
Ir1 Ir 0.500 0.500 0.260
Ir2 Ir 0.500 0.500 0.740
# - uncorrected energy (eV per atom) = -5.9010
# - space group = Pmmm

# GdDyZn2 (PBEsol, relaxed)
data_GdDyZn2
_chemical_formula_sum 'Gd4 Dy4 Zn8'
_cell_length_a 7.031
_cell_length_b 7.031
_cell_length_c 7.031
_cell_angle_alpha 90.00
_cell_angle_beta 90.00
_cell_angle_gamma 90.00
_space_group_name_H-M_alt 'P 1'
_space_group_IT_number 1
loop_
_space_group_symop_operation_xyz
'x,y,z'
loop_
_atom_site_label
_atom_site_type_symbol
_atom_site_fract_x
_atom_site_fract_y
_atom_site_fract_z
Gd1 Gd 0.000 0.000 0.000
Gd2 Gd 0.000 0.500 0.500
Gd3 Gd 0.500 0.000 0.500
Gd4 Gd 0.500 0.500 0.000
Dy1 Dy 0.000 0.000 0.500
Dy2 Dy 0.000 0.500 0.000
Dy3 Dy 0.500 0.000 0.000
Dy4 Dy 0.500 0.500 0.500
Zn1 Zn 0.250 0.250 0.250
Zn2 Zn 0.250 0.250 0.750
Zn3 Zn 0.250 0.750 0.250
Zn4 Zn 0.250 0.750 0.750
Zn5 Zn 0.750 0.250 0.250
Zn6 Zn 0.750 0.250 0.750
Zn7 Zn 0.750 0.750 0.250
Zn8 Zn 0.750 0.750 0.750
# - space group = Fm-3m
# - DFT formation energy (eV per atom) = -0.34

# Sr2MoSe (PBEsol, relaxed)
data_Sr2MoSe
_chemical_formula_sum 'Sr4 Mo2 Se2'
_cell_length_a 4.278
_cell_length_b 4.614
_cell_length_c 11.328
_cell_angle_alpha 90.00
_cell_angle_beta 90.00
_cell_angle_gamma 90.00
_space_group_name_H-M_alt 'P 1'
_space_group_IT_number 1
loop_
_space_group_symop_operation_xyz
'x,y,z'
loop_
_atom_site_label
_atom_site_type_symbol
_atom_site_fract_x
_atom_site_fract_y
_atom_site_fract_z
Sr1 Sr 0.000 0.000 0.000
Sr2 Sr 0.000 0.500 0.500
Sr3 Sr 0.500 0.000 0.289
Sr4 Sr 0.500 0.500 0.789
Mo1 Mo 0.000 0.000 0.698
Mo2 Mo 0.000 0.500 0.198
Se1 Se 0.500 0.000 0.589
Se2 Se 0.500 0.500 0.089
# - uncorrected energy (eV per atom) = -4.8767
# - space group = Amm2

# YFeTc2 (PBEsol, relaxed)
data_YFeTc2
_chemical_formula_sum 'Y1 Fe1 Tc2'
_cell_length_a 3.022
_cell_length_b 4.513
_cell_length_c 4.710
_cell_angle_alpha 90.00
_cell_angle_beta 98.82
_cell_angle_gamma 90.00
_space_group_name_H-M_alt 'P 1'
_space_group_IT_number 1
loop_
_space_group_symop_operation_xyz
'x,y,z'
loop_
_atom_site_label
_atom_site_type_symbol
_atom_site_fract_x
_atom_site_fract_y
_atom_site_fract_z
Y1 Y 0.000 0.000 0.000
Fe1 Fe 0.500 0.000 0.500
Tc1 Tc 0.316 0.500 0.736
Tc2 Tc 0.684 0.500 0.264
# - space group = P2/m
# - DFT formation energy (eV per atom) = 0.40

# Sc2SiSe (PBEsol, relaxed)
data_Sc2SiSe
_chemical_formula_sum 'Sc4 Si2 Se2'
_cell_length_a 3.997
_cell_length_b 5.300
_cell_length_c 7.146
_cell_angle_alpha 90.00
_cell_angle_beta 90.00
_cell_angle_gamma 90.00
_space_group_name_H-M_alt 'P 1'
_space_group_IT_number 1
loop_
_space_group_symop_operation_xyz
'x,y,z'
loop_
_atom_site_label
_atom_site_type_symbol
_atom_site_fract_x
_atom_site_fract_y
_atom_site_fract_z
Sc1 Sc 0.000 0.000 0.249
Sc2 Sc 0.000 0.000 0.751
Sc3 Sc 0.500 0.500 0.251
Sc4 Sc 0.500 0.500 0.749
Si1 Si 0.000 0.500 0.000
Si2 Si 0.500 0.000 0.500
Se1 Se 0.000 0.500 0.500
Se2 Se 0.500 0.000 0.000
# - uncorrected energy (eV per atom) = -6.5860
# - space group = Immm

# Tl2ZnHPb (PBEsol, relaxed)
data_Tl2ZnHPb
_chemical_formula_sum 'Tl2 Zn1 H1 Pb1'
_cell_length_a 5.876
_cell_length_b 5.876
_cell_length_c 3.869
_cell_angle_alpha 90.00
_cell_angle_beta 90.00
_cell_angle_gamma 90.00
_space_group_name_H-M_alt 'P 1'
_space_group_IT_number 1
loop_
_space_group_symop_operation_xyz
'x,y,z'
loop_
_atom_site_label
_atom_site_type_symbol
_atom_site_fract_x
_atom_site_fract_y
_atom_site_fract_z
Tl1 Tl 0.000 0.500 0.000
Tl2 Tl 0.500 0.000 0.000
Zn1 Zn 0.000 0.000 0.500
H1 H 0.500 0.500 0.500
Pb1 Pb 0.500 0.500 0.000
# - uncorrected energy (eV per atom) = -2.3107
# - space group = P4/mmm

# AlOsW2 (PBEsol, relaxed)
data_AlOsW2
_chemical_formula_sum 'Al2 Os2 W4'
_cell_length_a 3.102
_cell_length_b 4.260
_cell_length_c 8.871
_cell_angle_alpha 90.00
_cell_angle_beta 90.00
_cell_angle_gamma 90.00
_space_group_name_H-M_alt 'P 1'
_space_group_IT_number 1
loop_
_space_group_symop_operation_xyz
'x,y,z'
loop_
_atom_site_label
_atom_site_type_symbol
_atom_site_fract_x
_atom_site_fract_y
_atom_site_fract_z
Al1 Al 0.000 0.000 0.000
Al2 Al 0.500 0.500 0.500
Os1 Os 0.000 0.000 0.500
Os2 Os 0.500 0.500 0.000
W1 W 0.000 0.500 0.247
W2 W 0.000 0.500 0.753
W3 W 0.500 0.000 0.253
W4 W 0.500 0.000 0.747
# - space group = Immm
# - DFT formation energy (eV per atom) = -0.14

# MnNiP2O7 (PBEsol, relaxed)
data_MnNiP2O7
_chemical_formula_sum 'Mn1 Ni1 P2 O7'
_cell_length_a 5.269
_cell_length_b 5.269
_cell_length_c 4.492
_cell_angle_alpha 97.61
_cell_angle_beta 97.61
_cell_angle_gamma 104.11
_space_group_name_H-M_alt 'P 1'
_space_group_IT_number 1
loop_
_space_group_symop_operation_xyz
'x,y,z'
loop_
_atom_site_label
_atom_site_type_symbol
_atom_site_fract_x
_atom_site_fract_y
_atom_site_fract_z
Mn1 Mn 0.000 0.000 0.000
Ni1 Ni 0.377 0.623 0.000
P1 P 0.485 0.080 0.592
P2 P 0.920 0.515 0.408
O1 O 0.071 0.683 0.715
O2 O 0.098 0.398 0.213
O3 O 0.317 0.929 0.285
O4 O 0.342 0.252 0.765
O5 O 0.602 0.902 0.787
O6 O 0.748 0.252 0.500
O7 O 0.748 0.658 0.235
# - uncorrected energy (eV per atom) = -7.6191
# - space group = C2

# PrAl2Au2 (PBEsol, relaxed)
data_PrAl2Au2
_chemical_formula_sum 'Pr2 Al4 Au4'
_cell_length_a 4.393
_cell_length_b 4.393
_cell_length_c 10.323
_cell_angle_alpha 90.00
_cell_angle_beta 90.00
_cell_angle_gamma 90.00
_space_group_name_H-M_alt 'P 1'
_space_group_IT_number 1
loop_
_space_group_symop_operation_xyz
'x,y,z'
loop_
_atom_site_label
_atom_site_type_symbol
_atom_site_fract_x
_atom_site_fract_y
_atom_site_fract_z
Pr1 Pr 0.250 0.250 0.248
Pr2 Pr 0.750 0.750 0.752
Al1 Al 0.250 0.250 0.870
Al2 Al 0.250 0.750 0.500
Al3 Al 0.750 0.250 0.500
Al4 Al 0.750 0.750 0.130
Au1 Au 0.250 0.250 0.629
Au2 Au 0.250 0.750 0.000
Au3 Au 0.750 0.250 0.000
Au4 Au 0.750 0.750 0.371
# - space group = P4/nmm
# - DFT formation energy (eV per atom) = -0.77

# KHg3 (PBEsol, relaxed)
data_KHg3
_chemical_formula_sum 'K3 Hg9'
_cell_length_a 4.286
_cell_length_b 4.286
_cell_length_c 23.771
_cell_angle_alpha 90.00
_cell_angle_beta 90.00
_cell_angle_gamma 120.00
_space_group_name_H-M_alt 'P 1'
_space_group_IT_number 1
loop_
_space_group_symop_operation_xyz
'x,y,z'
loop_
_atom_site_label
_atom_site_type_symbol
_atom_site_fract_x
_atom_site_fract_y
_atom_site_fract_z
K1 K 0.000 0.000 0.000
K2 K 0.333 0.667 0.667
K3 K 0.667 0.333 0.333
Hg1 Hg 0.000 0.000 0.236
Hg2 Hg 0.000 0.000 0.500
Hg3 Hg 0.000 0.000 0.764
Hg4 Hg 0.333 0.667 0.167
Hg5 Hg 0.333 0.667 0.431
Hg6 Hg 0.333 0.667 0.902
Hg7 Hg 0.667 0.333 0.098
Hg8 Hg 0.667 0.333 0.569
Hg9 Hg 0.667 0.333 0.833
# - space group = R-3m
# - DFT formation energy (eV per atom) = -0.12

# BaLi2Mn (PBEsol, relaxed)
data_BaLi2Mn
_chemical_formula_sum 'Ba2 Li4 Mn2'
_cell_length_a 3.759
_cell_length_b 5.287
_cell_length_c 10.288
_cell_angle_alpha 90.00
_cell_angle_beta 90.00
_cell_angle_gamma 90.00
_space_group_name_H-M_alt 'P 1'
_space_group_IT_number 1
loop_
_space_group_symop_operation_xyz
'x,y,z'
loop_
_atom_site_label
_atom_site_type_symbol
_atom_site_fract_x
_atom_site_fract_y
_atom_site_fract_z
Ba1 Ba 0.000 0.000 0.000
Ba2 Ba 0.500 0.500 0.500
Li1 Li 0.000 0.500 0.215
Li2 Li 0.000 0.500 0.785
Li3 Li 0.500 0.000 0.285
Li4 Li 0.500 0.000 0.715
Mn1 Mn 0.000 0.000 0.500
Mn2 Mn 0.500 0.500 0.000
# - space group = Immm
# - DFT formation energy (eV per atom) = 0.49

# LiRh2 (PBEsol, relaxed)
data_LiRh2
_chemical_formula_sum 'Li4 Rh8'
_cell_length_a 9.536
_cell_length_b 2.641
_cell_length_c 6.445
_cell_angle_alpha 90.00
_cell_angle_beta 101.53
_cell_angle_gamma 90.00
_space_group_name_H-M_alt 'P 1'
_space_group_IT_number 1
loop_
_space_group_symop_operation_xyz
'x,y,z'
loop_
_atom_site_label
_atom_site_type_symbol
_atom_site_fract_x
_atom_site_fract_y
_atom_site_fract_z
Li1 Li 0.017 0.000 0.314
Li2 Li 0.483 0.500 0.686
Li3 Li 0.517 0.500 0.314
Li4 Li 0.983 0.000 0.686
Rh1 Rh 0.135 0.500 0.019
Rh2 Rh 0.220 0.500 0.653
Rh3 Rh 0.280 0.000 0.347
Rh4 Rh 0.365 0.000 0.981
Rh5 Rh 0.635 0.000 0.019
Rh6 Rh 0.720 0.000 0.653
Rh7 Rh 0.780 0.500 0.347
Rh8 Rh 0.865 0.500 0.981
# - space group = C2/m
# - DFT formation energy (eV per atom) = -0.05

# Mg2CdAs (PBEsol, relaxed)
data_Mg2CdAs
_chemical_formula_sum 'Mg4 Cd2 As2'
_cell_length_a 4.150
_cell_length_b 4.641
_cell_length_c 8.329
_cell_angle_alpha 90.00
_cell_angle_beta 90.00
_cell_angle_gamma 90.00
_space_group_name_H-M_alt 'P 1'
_space_group_IT_number 1
loop_
_space_group_symop_operation_xyz
'x,y,z'
loop_
_atom_site_label
_atom_site_type_symbol
_atom_site_fract_x
_atom_site_fract_y
_atom_site_fract_z
Mg1 Mg 0.000 0.000 0.239
Mg2 Mg 0.000 0.000 0.761
Mg3 Mg 0.500 0.500 0.261
Mg4 Mg 0.500 0.500 0.739
Cd1 Cd 0.000 0.500 0.000
Cd2 Cd 0.500 0.000 0.500
As1 As 0.000 0.500 0.500
As2 As 0.500 0.000 0.000
# - space group = Immm
# - DFT formation energy (eV per atom) = -0.15

Calculated volume readings, ordered: 120.8 71.8 347.6 223.6 63.5 151.4 133.6 117.2 118.1 199.2 378.1 204.4 159.0 160.4 Å³ per cell
Calculated density readings, ordered: 13.028 16.568 8.610 5.200 8.913 4.321 8.482 16.570 4.043 9.817 8.443 3.349 8.885 4.884 Mg/m³